Density functional theory data (PBE) for a relaxed structure of LuBiN2O.

Unit cell a=7.9814 b=5.7847 c=5.9259 alpha=90.00 beta=90.00 gamma=90.00
With the nearest neighbours (Å) after each atom.
Space group Pmc2_1 (No. 26)
Unique sites:
Lu (0.0000, 0.2207, 0.0000)  4 O 2.29-2.52, 2 N 2.34-2.38
Lu (0.5000, 0.2220, 0.1005)  4 N 2.17-2.27
Bi (0.2512, 0.2789, 0.5610)  4 N 2.17-2.23, 2 O 2.26-2.38
N (0.0000, 0.3946, 0.6433)  2 Bi 2.17, 2 Lu 2.34-2.38
N (0.2957, 0.3851, 0.9106)  2 Bi 2.17-2.19, 1 Lu 2.19
N (0.5000, 0.1285, 0.4716)  2 Lu 2.17-2.27, 2 Bi 2.23
O (0.1704, 0.0562, 0.2663)  2 Bi 2.26-2.38, 2 Lu 2.29-2.52

Values from the calculation:
Spin magnetization in μB per formula unit: 0.002
VASP energy in eV/atom: -6.67